No. 1
Below is an optimized crystal structure of ZrNp, with properties calculated at the PBE level.

Lattice parameters (Å, degrees): 5.1865 3.4106 5.1222 90.00 101.81 90.00
With the nearest neighbours (Å) after each atom.
Sites, in units of the cell vectors:
Zr: 0.4494 0.7500 0.7420  6 Zr 3.10-3.41, 7 Np 3.11-3.40
Zr: 0.5506 0.2500 0.2580  6 Zr 3.10-3.41, 7 Np 3.11-3.40
Np: 0.9746 0.2500 0.8315  2 Np 2.40
Np: 0.0254 0.7500 0.1685  2 Np 2.40

- E (eV/atom) = -10.54
- volume (Å³ per atom) = 22.2
- ΔH_f (0 K) (eV/atom) = 0.200



No. 2
Below is an optimized crystal structure of ZrNp4, with properties calculated at the PBE level.

Lattice parameters (Å, degrees): 5.3335 5.3335 5.3335 90.00 90.00 90.00
With the nearest neighbours (Å) after each atom.
Sites, in units of the cell vectors:
Zr: 0.5000 0.5000 0.5000  6 Np 2.67
Np: 0.0000 0.0000 0.0000  12 Np 3.77
Np: 0.0000 0.5000 0.5000  2 Zr 2.67
Np: 0.5000 0.0000 0.5000  2 Zr 2.67
Np: 0.5000 0.5000 0.0000  2 Zr 2.67

- E (eV/atom) = -10.49
- volume (Å³ per atom) = 30.3
- ΔH_f (0 K) (eV/atom) = 1.573



No. 3
Below is an optimized crystal structure of Zr4Np, with properties calculated at the PBE level.

Lattice parameters (Å, degrees): 5.0090 5.0090 5.0090 90.00 90.00 90.00
With the nearest neighbours (Å) after each atom.
Sites, in units of the cell vectors:
Zr: 0.0000 0.0000 0.0000  12 Zr 3.54
Zr: 0.0000 0.5000 0.5000  2 Np 2.50
Zr: 0.5000 0.5000 0.0000  2 Np 2.50
Zr: 0.5000 0.0000 0.5000  2 Np 2.50
Np: 0.5000 0.5000 0.5000  6 Zr 2.50

- E (eV/atom) = -8.62
- volume (Å³ per atom) = 25.1
- ΔH_f (0 K) (eV/atom) = 0.810



No. 4
Below is an optimized crystal structure of Zr3Np, with properties calculated at the PBE level.

Lattice parameters (Å, degrees): 3.0561 5.6943 6.2183 117.25 104.22 90.00
With the nearest neighbours (Å) after each atom.
Sites, in units of the cell vectors:
Zr: 0.2417 0.5439 0.4834  1 Np 3.01, 9 Zr 3.06-3.27
Zr: 0.5000 0.5346 0.0000  8 Zr 3.06-3.27, 4 Np 3.20-3.27
Zr: 0.7583 0.0605 0.5166  1 Np 3.01, 9 Zr 3.06-3.27
Np: 0.0000 0.0277 0.0000  6 Zr 3.01-3.27, 2 Np 3.06

- E (eV/atom) = -9.42
- volume (Å³ per atom) = 23.1
- E above lowest polymorph (eV per formula unit) = 0.02
- ΔH_f (0 K) (eV/atom) = 0.222



No. 5
Below is an optimized crystal structure of Zr3Np, with properties calculated at the PBE level.

Lattice parameters (Å, degrees): 5.3085 3.0639 5.7001 90.00 90.00 90.00
With the nearest neighbours (Å) after each atom.
Sites, in units of the cell vectors:
Np: 0.0000 0.0000 0.9725  2 Np 3.06, 10 Zr 3.10-3.31
Zr: 0.0000 0.5000 0.4772  8 Zr 3.06-3.30, 4 Np 3.21-3.26
Zr: 0.5000 0.0000 0.6928  10 Zr 3.06-3.30, 2 Np 3.10
Zr: 0.5000 0.5000 0.1908  8 Zr 3.06-3.25, 4 Np 3.31

- E (eV/atom) = -9.43
- volume (Å³ per atom) = 23.2
- E above lowest polymorph (eV per formula unit) = 0.00
- ΔH_f (0 K) (eV/atom) = 0.216



No. 6
Below is an optimized crystal structure of O, with properties calculated at the PBE level.

Lattice parameters (Å, degrees): 4.3414 4.3414 4.3414 48.36 48.36 48.36
With the nearest neighbours (Å) after each atom.
Sites, in units of the cell vectors:
O: 0.9463 0.9463 0.9463  1 O 1.23
O: 0.0537 0.0537 0.0537  1 O 1.23

- E (eV/atom) = -4.93
- formation energy without anion corrections (eV per atom) = 0.02
- volume (Å³ per atom) = 21.0
- E above lowest polymorph (eV per formula unit) = 0.02



No. 7
Below is an optimized crystal structure of O, with properties calculated at the PBE level.

Lattice parameters (Å, degrees): 2.3969 4.5111 5.4219 70.25 77.35 74.84
With the nearest neighbours (Å) after each atom.
Sites, in units of the cell vectors:
O: 0.3460 0.1386 0.1730  1 O 1.23
O: 0.5402 0.1572 0.7627  1 O 1.23
O: 0.4598 0.8428 0.2373  1 O 1.23
O: 0.6540 0.8614 0.8270  1 O 1.23

- E (eV/atom) = -4.89
- formation energy without anion corrections (eV per atom) = 0.07
- volume (Å³ per atom) = 13.2
- E above lowest polymorph (eV per formula unit) = 0.07



No. 8
Below is an optimized crystal structure of O, with properties calculated at the PBE level.

Lattice parameters (Å, degrees): 7.8936 7.8936 4.8816 90.00 90.00 120.00
With the nearest neighbours (Å) after each atom.
Sites, in units of the cell vectors:
O: 0.1778 0.2980 0.7500  1 O 1.23
O: 0.0793 0.6497 0.7500  1 O 1.23
O: 0.3503 0.4296 0.7500  1 O 1.23
O: 0.7020 0.8797 0.7500  1 O 1.23
O: 0.9207 0.3503 0.2500  1 O 1.23
O: 0.2980 0.1203 0.2500  1 O 1.23
O: 0.4296 0.0793 0.2500  1 O 1.23
O: 0.6497 0.5704 0.2500  1 O 1.23
O: 0.8222 0.7020 0.2500  1 O 1.23
O: 0.5704 0.9207 0.7500  1 O 1.23
O: 0.1203 0.8222 0.7500  1 O 1.23
O: 0.8797 0.1778 0.2500  1 O 1.23

- E (eV/atom) = -4.93
- formation energy without anion corrections (eV per atom) = 0.03
- volume (Å³ per atom) = 22.0
- E above lowest polymorph (eV per formula unit) = 0.03



No. 9
Below is an optimized crystal structure of O, with properties calculated at the PBE level.

Lattice parameters (Å, degrees): 5.3602 5.3602 5.3602 90.00 90.00 90.00
With the nearest neighbours (Å) after each atom.
Sites, in units of the cell vectors:
O: 0.0000 0.7500 0.5000  4 O 1.90
O: 0.5000 0.7500 0.0000  4 O 1.90
O: 0.0000 0.5000 0.2500  4 O 1.90
O: 0.7500 0.5000 0.0000  4 O 1.90
O: 0.5000 0.0000 0.7500  4 O 1.90
O: 0.2500 0.5000 0.0000  4 O 1.90
O: 0.2500 0.0000 0.5000  4 O 1.90
O: 0.0000 0.2500 0.5000  4 O 1.90
O: 0.5000 0.2500 0.0000  4 O 1.90
O: 0.5000 0.0000 0.2500  4 O 1.90
O: 0.7500 0.0000 0.5000  4 O 1.90
O: 0.0000 0.5000 0.7500  4 O 1.90

- E (eV/atom) = -3.08
- formation energy without anion corrections (eV per atom) = 1.88
- volume (Å³ per atom) = 12.8
- E above lowest polymorph (eV per formula unit) = 1.88



No. 10
Below is an optimized crystal structure of O, with properties calculated at the PBE level.

Lattice parameters (Å, degrees): 7.3233 7.3233 2.5301 90.00 90.00 90.00
With the nearest neighbours (Å) after each atom.
Sites, in units of the cell vectors:
O: 0.7888 0.7888 0.0000  2 O 1.50
O: 0.2112 0.2112 0.0000  2 O 1.50
O: 0.7112 0.7112 0.5000  2 O 1.50
O: 0.7112 0.2888 0.5000  2 O 1.50
O: 0.2888 0.7112 0.5000  2 O 1.50
O: 0.7888 0.2112 0.0000  2 O 1.50
O: 0.2888 0.2888 0.5000  2 O 1.50
O: 0.2112 0.7888 0.0000  2 O 1.50

- E (eV/atom) = -4.07
- formation energy without anion corrections (eV per atom) = 0.89
- volume (Å³ per atom) = 17.0
- E above lowest polymorph (eV per formula unit) = 0.89



No. 11
Below is an optimized crystal structure of O, with properties calculated at the PBE level.

Lattice parameters (Å, degrees): 2.5183 2.5183 8.5703 90.00 90.00 120.00
With the nearest neighbours (Å) after each atom.
Sites, in units of the cell vectors:
O: 0.6667 0.3333 0.8217  1 O 1.23
O: 0.3333 0.6667 0.3217  1 O 1.23
O: 0.3333 0.6667 0.1783  1 O 1.23
O: 0.6667 0.3333 0.6783  1 O 1.23

- E (eV/atom) = -4.82
- formation energy without anion corrections (eV per atom) = 0.14
- volume (Å³ per atom) = 11.8
- E above lowest polymorph (eV per formula unit) = 0.14



No. 12
Below is an optimized crystal structure of O, with properties calculated at the PBE level.

Lattice parameters (Å, degrees): 4.8060 5.5723 7.0534 88.46 90.76 89.50
With the nearest neighbours (Å) after each atom.
Sites, in units of the cell vectors:
O: 0.4941 0.0609 0.1885  1 O 1.23
O: 0.3658 0.9118 0.6244  1 O 1.28
O: 0.0802 0.4747 0.8465  2 O 1.28-1.29
O: 0.0870 0.2485 0.8886  1 O 1.29
O: 0.4749 0.8557 0.1295  1 O 1.23
O: 0.5865 0.0349 0.6522  2 O 1.28-1.29
O: 0.5777 0.2595 0.6049  1 O 1.29
O: 0.8543 0.5901 0.8795  1 O 1.28
O: 0.9933 0.4317 0.3085  1 O 1.23
O: 0.9862 0.6322 0.3774  1 O 1.23

- E (eV/atom) = -4.69
- formation energy without anion corrections (eV per atom) = 0.27
- volume (Å³ per atom) = 18.9
- E above lowest polymorph (eV per formula unit) = 0.27



No. 13
Below is an optimized crystal structure of O, with properties calculated at the PBE level.

Lattice parameters (Å, degrees): 2.5003 2.5003 4.1363 90.00 90.00 120.00
With the nearest neighbours (Å) after each atom.
Sites, in units of the cell vectors:
O: 0.6667 0.3333 0.5000  12 O 2.50-2.52
O: 0.0000 0.0000 0.0000  12 O 2.50-2.52

- E (eV/atom) = -2.65
- formation energy without anion corrections (eV per atom) = 2.31
- volume (Å³ per atom) = 11.2
- E above lowest polymorph (eV per formula unit) = 2.31



No. 14
Below is an optimized crystal structure of O, with properties calculated at the PBE level.

Lattice parameters (Å, degrees): 4.3451 3.1058 4.5996 90.00 117.60 90.00
With the nearest neighbours (Å) after each atom.
Sites, in units of the cell vectors:
O: 0.2431 0.7500 0.1515  1 O 1.23
O: 0.9041 0.2500 0.1505  1 O 1.23
O: 0.7569 0.2500 0.8485  1 O 1.23
O: 0.0959 0.7500 0.8495  1 O 1.23

- E (eV/atom) = -4.96
- formation energy without anion corrections (eV per atom) = 0.00
- volume (Å³ per atom) = 13.8
- E above lowest polymorph (eV per formula unit) = 0.00



No. 15
Below is an optimized crystal structure of O, with properties calculated at the PBE level.

Lattice parameters (Å, degrees): 3.6058 14.7840 9.6176 90.00 90.00 90.00
With the nearest neighbours (Å) after each atom.
Sites, in units of the cell vectors:
O: 0.0000 0.8038 0.0000  2 O 1.44
O: 0.7500 0.7500 0.5827  2 O 1.44
O: 0.2500 0.4462 0.7500  2 O 1.44
O: 0.5000 0.0000 0.6673  2 O 1.44
O: 0.0000 0.5000 0.3327  2 O 1.44
O: 0.7500 0.5538 0.7500  2 O 1.44
O: 0.7500 0.2500 0.4173  2 O 1.44
O: 0.0000 0.5000 0.6673  2 O 1.44
O: 0.2500 0.7500 0.4173  2 O 1.44
O: 0.2500 0.9462 0.2500  2 O 1.44
O: 0.7500 0.2500 0.0827  2 O 1.44
O: 0.7500 0.7500 0.9173  2 O 1.44
O: 0.2500 0.5538 0.2500  2 O 1.44
O: 0.0000 0.0000 0.8327  2 O 1.44
O: 0.2500 0.2500 0.5827  2 O 1.44
O: 0.5000 0.5000 0.1673  2 O 1.44
O: 0.0000 0.1962 0.0000  2 O 1.44
O: 0.7500 0.0538 0.2500  2 O 1.44
O: 0.7500 0.9462 0.7500  2 O 1.44
O: 0.5000 0.1962 0.5000  2 O 1.44
O: 0.5000 0.0000 0.3327  2 O 1.44
O: 0.2500 0.0538 0.7500  2 O 1.44
O: 0.5000 0.6962 0.0000  2 O 1.44
O: 0.2500 0.7500 0.0827  2 O 1.44
O: 0.7500 0.4462 0.2500  2 O 1.44
O: 0.2500 0.2500 0.9173  2 O 1.44
O: 0.5000 0.3038 0.0000  2 O 1.44
O: 0.5000 0.8038 0.5000  2 O 1.44
O: 0.5000 0.5000 0.8327  2 O 1.44
O: 0.0000 0.0000 0.1673  2 O 1.44
O: 0.0000 0.3038 0.5000  2 O 1.44
O: 0.0000 0.6962 0.5000  2 O 1.44

- E (eV/atom) = -4.54
- formation energy without anion corrections (eV per atom) = 0.42
- volume (Å³ per atom) = 16.0
- E above lowest polymorph (eV per formula unit) = 0.42



No. 16
Below is an optimized crystal structure of O, with properties calculated at the PBE level.

Lattice parameters (Å, degrees): 4.5238 4.5002 2.4057 75.08 74.00 30.92
With the nearest neighbours (Å) after each atom.
Sites, in units of the cell vectors:
O: 0.4265 0.4265 0.5735  1 O 1.23
O: 0.5735 0.5735 0.4265  1 O 1.23

- E (eV/atom) = -4.83
- formation energy without anion corrections (eV per atom) = 0.13
- volume (Å³ per atom) = 12.1
- E above lowest polymorph (eV per formula unit) = 0.13



No. 17
Below is an optimized crystal structure of O, with properties calculated at the PBE level.

Lattice parameters (Å, degrees): 1.9934 1.9934 1.9934 90.00 90.00 90.00
With the nearest neighbours (Å) after each atom.
Sites, in units of the cell vectors:
O: 0.0000 0.0000 0.0000  6 O 1.99

- E (eV/atom) = -3.13
- formation energy without anion corrections (eV per atom) = 1.83
- volume (Å³ per atom) = 7.9
- E above lowest polymorph (eV per formula unit) = 1.83



No. 18
Below is an optimized crystal structure of O, with properties calculated at the PBE level.

Lattice parameters (Å, degrees): 3.5956 3.5956 6.0804 90.00 90.00 155.44
With the nearest neighbours (Å) after each atom.
Sites, in units of the cell vectors:
O: 0.8765 0.1235 0.7500  2 O 1.53
O: 0.1235 0.8765 0.2500  2 O 1.53

- E (eV/atom) = -3.68
- formation energy without anion corrections (eV per atom) = 1.28
- volume (Å³ per atom) = 16.3
- E above lowest polymorph (eV per formula unit) = 1.28



No. 19
Below is an optimized crystal structure of O, with properties calculated at the PBE level.

Lattice parameters (Å, degrees): 5.4346 5.4346 4.4918 69.30 69.30 71.12
With the nearest neighbours (Å) after each atom.
Sites, in units of the cell vectors:
O: 0.2710 0.7877 0.8481  1 O 1.23
O: 0.7877 0.2710 0.8481  1 O 1.23
O: 0.2123 0.7290 0.1519  1 O 1.23
O: 0.2045 0.2045 0.8251  1 O 1.23
O: 0.7290 0.2123 0.1519  1 O 1.23
O: 0.7955 0.7955 0.1749  1 O 1.23
O: 0.1460 0.1460 0.1289  1 O 1.23
O: 0.8540 0.8540 0.8711  1 O 1.23

- E (eV/atom) = -4.94
- formation energy without anion corrections (eV per atom) = 0.02
- volume (Å³ per atom) = 14.1
- E above lowest polymorph (eV per formula unit) = 0.02



No. 20
Below is an optimized crystal structure of O, with properties calculated at the PBE level.

Lattice parameters (Å, degrees): 7.6021 7.6021 7.6021 90.00 90.00 90.00
With the nearest neighbours (Å) after each atom.
Sites, in units of the cell vectors:
O: 0.7968 0.2032 0.2032  1 O 1.23
O: 0.2968 0.7032 0.2968  1 O 1.23
O: 0.7968 0.2032 0.7968  1 O 1.23
O: 0.2032 0.7968 0.2032  1 O 1.23
O: 0.2968 0.7032 0.7032  1 O 1.23
O: 0.2032 0.2032 0.2032  1 O 1.23
O: 0.7032 0.2968 0.2968  1 O 1.23
O: 0.2032 0.2032 0.7968  1 O 1.23
O: 0.7032 0.7032 0.2968  1 O 1.23
O: 0.7032 0.7032 0.7032  1 O 1.23
O: 0.7968 0.7968 0.7968  1 O 1.23
O: 0.2032 0.7968 0.7968  1 O 1.23
O: 0.2968 0.2968 0.2968  1 O 1.23
O: 0.2968 0.2968 0.7032  1 O 1.23
O: 0.7968 0.7968 0.2032  1 O 1.23
O: 0.7032 0.2968 0.7032  1 O 1.23

- E (eV/atom) = -4.93
- formation energy without anion corrections (eV per atom) = 0.03
- volume (Å³ per atom) = 27.5
- E above lowest polymorph (eV per formula unit) = 0.03